No. 1
VASP calculation (GGA-PBE) on an optimized crystal structure of LuPaNiPt.

Summary:
N(E_F): 22.49 states/eV/cell
magnetic moment: 0.0 μB per formula unit

a = 6.852 Å, b = 6.852 Å, c = 6.852 Å
α = 90.00°, β = 90.00°, γ = 90.00°
Space group F-43m (No. 216)
Inequivalent atoms, fractional coordinates:
Lu: 0.000 0.000 0.000 [4 per cell]
Pa: 0.000 0.000 0.500 [4 per cell]
Ni: 0.250 0.250 0.750 [4 per cell]
Pt: 0.250 0.250 0.250 [4 per cell]


No. 2
VASP calculation (GGA-PBE) on an optimized crystal structure of LuPaReNi.

Summary:
N(E_F): 15.33 states/eV/cell
magnetic moment: 0.0 μB per formula unit

a = 6.770 Å, b = 6.770 Å, c = 6.770 Å
α = 90.00°, β = 90.00°, γ = 90.00°
Space group F-43m (No. 216)
Inequivalent atoms, fractional coordinates:
Lu: 0.000 0.000 0.000 [4 per cell]
Pa: 0.000 0.000 0.500 [4 per cell]
Re: 0.250 0.250 0.250 [4 per cell]
Ni: 0.250 0.250 0.750 [4 per cell]


No. 3
VASP calculation (GGA-PBE) on an optimized crystal structure of LuPaTcNi.

Summary:
N(E_F): 16.08 states/eV/cell
magnetic moment: 0.0 μB per formula unit

a = 6.752 Å, b = 6.752 Å, c = 6.752 Å
α = 90.00°, β = 90.00°, γ = 90.00°
Space group F-43m (No. 216)
Inequivalent atoms, fractional coordinates:
Lu: 0.000 0.000 0.000 [4 per cell]
Pa: 0.000 0.000 0.500 [4 per cell]
Tc: 0.250 0.250 0.250 [4 per cell]
Ni: 0.250 0.250 0.750 [4 per cell]


no.,raw total energy (eV per atom)
1,-7.089
2,-8.229
3,-7.793